No. 1
Below is an optimized crystal structure of TiAgPd2, with properties calculated at the PBE level.

Cell lengths 5.7324, 5.7324, 5.7324 Å; angles 103.74, 103.74, 121.67 degrees
Atoms (fractional coordinates):
Ti: 0.0000 0.0000 0.0000
Ti: 0.7500 0.2500 0.5000
Ag: 0.2500 0.7500 0.5000
Ag: 0.5000 0.5000 0.0000
Pd: 0.0954 0.6250 0.9704
Pd: 0.3750 0.3454 0.4704
Pd: 0.6546 0.1250 0.0296
Pd: 0.8750 0.9046 0.5296

Calculated values
V = 17.5 Å³ per atom
formation energy = -0.05 eV/atom
magnetization = 0.00 μB per atom

No. 2
Below is an optimized crystal structure of Ti2AgPd4, with properties calculated at the PBE level.

Cell lengths 6.1995, 6.3634, 6.4002 Å; angles 72.84, 71.95, 72.21 degrees
Atoms (fractional coordinates):
Ti: 0.0000 0.0000 0.0000
Ti: 0.0772 0.6500 0.7357
Ti: 0.3281 0.5618 0.1314
Ti: 0.9017 0.3758 0.2036
Ag: 0.1540 0.2701 0.5504
Ag: 0.7708 0.0742 0.6302
Pd: 0.2098 0.9283 0.3249
Pd: 0.3201 0.2515 0.9209
Pd: 0.4056 0.8420 0.7244
Pd: 0.4994 0.5073 0.4834
Pd: 0.5841 0.1410 0.2599
Pd: 0.6618 0.7844 0.0505
Pd: 0.7360 0.4250 0.8479
Pd: 0.8790 0.6970 0.3974

Calculated values
V = 15.9 Å³ per atom
formation energy = -0.41 eV/atom
magnetization = 0.00 μB per atom

No. 3
Below is an optimized crystal structure of Ti2AgPd6, with properties calculated at the PBE level.

Cell lengths 7.5951, 7.5951, 2.8199 Å; angles 90.00, 90.00, 120.00 degrees
Atoms (fractional coordinates):
Ti: 0.3333 0.6667 0.0000
Ti: 0.6667 0.3333 0.0000
Ag: 0.0000 0.0000 0.5000
Pd: 0.0000 0.3157 0.0000
Pd: 0.0000 0.6350 0.5000
Pd: 0.3157 0.0000 0.0000
Pd: 0.3650 0.3650 0.5000
Pd: 0.6350 0.0000 0.5000
Pd: 0.6843 0.6843 0.0000

Calculated values
V = 15.7 Å³ per atom
formation energy = -0.42 eV/atom
magnetization = 0.00 μB per atom

No. 4
Below is an optimized crystal structure of Ti2AgPd, with properties calculated at the PBE level.

Cell lengths 9.4295, 9.4295, 9.4295 Å; angles 17.54, 17.54, 17.54 degrees
Atoms (fractional coordinates):
Ti: 0.0000 0.0000 0.0000
Ti: 0.1741 0.1741 0.1741
Ag: 0.4203 0.4203 0.4203
Pd: 0.5873 0.5873 0.5873

Calculated values
V = 16.6 Å³ per atom
formation energy = -0.09 eV/atom
magnetization = 0.14 μB per atom